A relaxed structure of Ac5YSn4. Source: Alexandria, functional GGA-PBE.

## Properties
E_tot	-96.07	eV/cell

Unit cell a=17.5941 b=5.5870 c=7.7205 alpha=90.00 beta=91.46 gamma=90.00
With the nearest neighbours (Å) after each atom.
Space group C2/m (No. 12)
Unique sites:
Ac1 0.0000 0.0000 0.0000 [2 per cell]  6 Sn 3.48-3.63, 2 Y 3.86
Ac2 0.1637 0.5000 0.0031 [4 per cell]  5 Sn 3.42-3.62
Ac3 0.1669 0.5000 0.5058 [4 per cell]  5 Sn 3.32-3.56
Y1 0.0000 0.0000 0.5000 [2 per cell]  6 Sn 3.32-3.53
Sn1 0.0068 0.5000 0.2685 [4 per cell]  6 Ac 3.32-3.62, 2 Y 3.32, 1 Sn 3.59
Sn2 0.1713 0.0000 0.7480 [4 per cell]  7 Ac 3.36-3.63, 1 Y 3.53